Here is a relaxed structure of VCrNi from Alexandria via LeMat-Bulk. Energies are from PBE.

As for the size of the total moment: 0.00 μB/f.u. The calculation puts the formation energy at -0.060 eV/atom. For the calculated volume, the calculation gives 11.8 A^3/atom.

The space group is Pm (No. 6) and the conventional cell measures 2.466, 4.104 and 7.040 Å, with angles of 90.00, 94.83 and 90.00 degrees. The inequivalent atoms are V at (0.000, 0.000, 0.000), V at (0.336, 0.500, 0.201), Cr at (0.688, 0.000, 0.355), Cr at (0.984, 0.500, 0.542), Ni at (0.413, 0.000, 0.673) and Ni at (0.564, 0.500, 0.864).